{
  "formula": "NaFeCo3",
  "functional": "SCAN",
  "state": "single point on PBEsol structure",
  "magmom_total_mub_per_cell": 8.19,
  "volume_a3_per_atom": 14.31,
  "e_tot_ev_per_cell": -63.87,
  "crystal_system": "cubic",
  "lattice_angstrom": [[-3.0622, -0.3320, -2.7831], [2.7767, -0.9205, -2.9454], [-0.3816, -4.0343, 0.9011]],
  "species": ["Co", "Co", "Co", "Fe", "Na"],
  "frac_coords": [[0.0000, 0.0000, 0.5000], [0.5000, 0.0000, 0.0000], [0.0000, 0.5000, 0.0000], [0.5000, 0.5000, 0.5000], [0.0000, 0.0000, 0.0000]]
}